# 1
Entry from OQMD via LeMat-Bulk: a geometry-optimized Y3Al3Cu2Ir structure (PBE-GGA).

Lattice parameters (Å, degrees): 7.051 7.051 4.043 90.00 90.00 120.00
Sites, in units of the cell vectors:
Y: 0.000 0.582 0.000
Y: 0.582 0.000 0.000
Al: 0.000 0.235 0.500
Al: 0.235 0.000 0.500
Ir: 0.000 0.000 0.000
Cu: 0.333 0.667 0.500
Y: 0.418 0.418 0.000
Cu: 0.667 0.333 0.500
Al: 0.765 0.765 0.500

E in eV per atom: -5.81
Symmetry: P-62m


# 2
Entry from OQMD via LeMat-Bulk: a geometry-optimized BaHoAg structure (PBE-GGA).

Lattice parameters (Å, degrees): 5.377 5.377 5.377 60.00 60.00 60.00
Sites, in units of the cell vectors:
Ba: 0.250 0.250 0.250
Ag: 0.000 0.000 0.000
Ho: 0.750 0.750 0.750

Energy above the most stable polymorph in this dataset in meV per atom: 0
Symmetry: F-43m


# 3
Entry from OQMD via LeMat-Bulk: a geometry-optimized Ta2CdIr structure (PBE-GGA).

Lattice parameters (Å, degrees): 4.623 4.623 4.623 60.00 60.00 60.00
Sites, in units of the cell vectors:
Cd: 0.750 0.750 0.750
Ta: 0.250 0.250 0.250
Ir: 0.000 0.000 0.000
Ta: 0.500 0.500 0.500

Energy relative to the elements in eV/atom: 0.19
Symmetry: F-43m


Q: Which formula does entry 2 have?
A: BaHoAg